# 1
Density functional theory data (PBE-GGA) for a relaxed structure of RbErCd2.

Summary:
calculated formation energy	-62	meV per atom
DOS(E_F)	3.555	states/eV per cell
M_tot	0.00	μB per atom
uncorrected energy	-7.61	eV for the cell shown

```
RbErCd2
1.0
3.8577 0.0000 0.0000
0.0000 3.8577 0.0000
0.0000 0.0000 8.7627
Rb Er Cd
1 1 2
Cartesian
0.0000 0.0000 0.0000
0.0000 0.0000 4.3814
1.9289 1.9289 2.7266
1.9289 1.9289 6.0362
```



# 2
Density functional theory data (PBE-GGA) for a relaxed structure of Er2ScSi.

Summary:
formation energy from raw total energies	0.07	eV/atom
DOS(E_F)	4.034	states/eV per cell
M_tot	0.18	μB per atom
uncorrected energy	-20.59	eV for the cell shown

```
Er2ScSi
1.0
1.7146 0.9899 10.4399
-1.7146 0.9899 10.4399
0.0000 -1.9799 10.4399
Er Sc Si
2 1 1
Cartesian
0.0000 0.0000 3.1957
0.0000 0.0000 28.1239
0.0000 0.0000 0.0000
0.0000 0.0000 15.6598
```



# 3
Density functional theory data (PBE-GGA) for a relaxed structure of KIn2Ga.

Summary:
calculated formation energy	-109	meV per atom
DOS(E_F)	4.675	states/eV per cell
M_tot	0.00	μB per atom
uncorrected energy	-20.08	eV for the cell shown

```
KIn2Ga
1.0
2.3313 -10.3249 0.0000
2.3313 10.3249 0.0000
0.0000 0.0000 4.9739
K In Ga
2 4 2
Cartesian
2.3313 8.0670 3.7304
2.3313 -8.0670 1.2435
2.3313 5.1461 1.2435
2.3313 0.7362 3.7304
2.3313 -0.7362 1.2435
2.3313 -5.1461 3.7304
2.3313 3.5171 3.7304
2.3313 -3.5171 1.2435
```



# 4
Density functional theory data (PBE-GGA) for a relaxed structure of Ga2HgI6.

Summary:
formation energy from raw total energies	-0.41	eV/atom
DOS(E_F)	0.000	states/eV per cell
M_tot	0.00	μB per atom
uncorrected energy	-38.61	eV for the cell shown

```
Ga2HgI6
1.0
9.7143 -6.8055 0.0000
9.7143 6.8055 0.0000
-2.3673 0.0000 6.8115
Ga Hg I
4 2 12
Cartesian
2.7209 1.2843 1.6355
1.5373 -1.2843 5.0413
15.5239 1.2843 1.7702
14.3403 -1.2843 5.1760
9.1224 0.4430 1.7029
7.9388 -0.4430 5.1086
0.9889 1.0172 3.7272
5.6188 3.5710 6.4376
2.1726 -1.0172 0.3215
5.1040 1.3398 2.4075
10.2588 3.5710 3.7796
3.9203 -1.3398 5.8132
13.1409 1.3398 0.9983
6.8024 -3.5710 3.0319
11.9573 -1.3398 4.4040
14.8887 1.0172 6.4900
11.4425 -3.5710 0.3739
16.0723 -1.0172 3.0843
```



# 5
Density functional theory data (PBE-GGA) for a relaxed structure of KRbGa2Sb2.

Summary:
formation energy from raw total energies	-0.21	eV/atom
DOS(E_F)	3.947	states/eV per cell
M_tot	0.00	μB per atom
uncorrected energy	-17.60	eV for the cell shown

```
KRbGa2Sb2
1.0
4.8397 0.0000 0.0000
-2.4198 4.1913 0.0000
0.0000 0.0000 10.8295
K Rb Ga Sb
1 1 2 2
Cartesian
0.0000 0.0000 0.0000
0.0000 0.0000 5.4147
0.0000 2.7942 2.6971
2.4198 1.3971 8.1324
0.0000 2.7942 8.2289
2.4198 1.3971 2.6006
```



# 6
Density functional theory data (PBE-GGA) for a relaxed structure of AgPb4Au5.

Summary:
calculated formation energy	-41	meV per atom
DOS(E_F)	3.597	states/eV per cell
M_tot	0.00	μB per atom
uncorrected energy	-34.48	eV for the cell shown

```
AgPb4Au5
1.0
-4.4527 4.4527 3.0242
4.4527 -4.4527 3.0242
4.4527 4.4527 -3.0242
Ag Pb Au
1 4 5
Cartesian
0.0000 0.0000 0.0000
5.0734 -1.7351 1.5671
3.8319 1.7351 1.5671
-1.7351 3.8319 1.5671
1.7351 5.0734 1.5671
3.6416 2.2117 -1.4535
2.2409 -0.8111 1.5707
2.2117 5.2637 -1.4535
0.8111 2.2409 1.5707
0.0000 0.0000 3.1907
```



# 7
Density functional theory data (PBE-GGA) for a relaxed structure of TaCu2Sb.

Summary:
formation energy from raw total energies	0.21	eV/atom
DOS(E_F)	2.731	states/eV per cell
M_tot	0.00	μB per atom
uncorrected energy	-23.32	eV for the cell shown

```
TaCu2Sb
1.0
2.9659 0.0000 0.0000
0.0000 4.1958 0.0000
-0.3322 0.0000 5.3988
Ta Cu Sb
1 2 1
Cartesian
0.0000 0.0000 0.0000
1.4039 2.0979 1.1818
1.2298 2.0979 4.2170
1.3169 0.0000 2.6994
```



# 8
Density functional theory data (PBE-GGA) for a relaxed structure of Ta2AlSi.

Summary:
E above lowest polymorph	266	meV per atom
formation energy from raw total energies	0.04	eV/atom
DOS(E_F)	3.532	states/eV per cell
M_tot	0.00	μB per atom
uncorrected energy	-32.73	eV for the cell shown

```
Ta2AlSi
1.0
1.4615 0.8438 9.1822
-1.4615 0.8438 9.1822
0.0000 -1.6876 9.1822
Ta Al Si
2 1 1
Cartesian
0.0000 0.0000 0.0000
0.0000 0.0000 6.6215
0.0000 0.0000 20.6516
0.0000 0.0000 13.6772
```